<i>
VASP calculation (PBE with a Hubbard U) on AlWIO2 after structural relaxation.

## Properties
DOS(E_F): 1.9 states/eV/cell
crystal system: tetragonal

```
data_AlWIO2
_chemical_formula_sum 'Al1 W1 I1 O2'
_space_group_name_H-M_alt 'P 4/m m m'
_space_group_IT_number 123
_space_group_name_Hall '-P 4 2'
_cell_length_a 3.873
_cell_length_b 3.873
_cell_length_c 5.942
_cell_angle_alpha 90.00
_cell_angle_beta 90.00
_cell_angle_gamma 90.00
loop_
_atom_site_label
_atom_site_type_symbol
_atom_site_fract_x
_atom_site_fract_y
_atom_site_fract_z
_atom_site_occupancy
Al1 Al 0.000 0.000 0.000 1
W1 W 0.500 0.500 0.500 1
I1 I 0.000 0.000 0.500 1
O1 O 0.000 0.500 0.000 1
```

---

<ii>
VASP calculation (PBE with a Hubbard U) on AlWIO2 after structural relaxation.

## Properties
DOS(E_F): 1.1 states/eV/cell
crystal system: tetragonal

```
data_AlWIO2
_chemical_formula_sum 'Al1 W1 I1 O2'
_space_group_name_H-M_alt 'P 4/m m m'
_space_group_IT_number 123
_space_group_name_Hall '-P 4 2'
_cell_length_a 4.053
_cell_length_b 4.053
_cell_length_c 6.376
_cell_angle_alpha 90.00
_cell_angle_beta 90.00
_cell_angle_gamma 90.00
loop_
_atom_site_label
_atom_site_type_symbol
_atom_site_fract_x
_atom_site_fract_y
_atom_site_fract_z
_atom_site_occupancy
Al1 Al 0.000 0.000 0.000 1
W1 W 0.500 0.500 0.500 1
I1 I 0.500 0.500 0.000 1
O1 O 0.000 0.500 0.500 1
```

---

Least stable structure among those shown: <i>.